# 1
Material: BaLaAu2
Method: DFT, PBEsol
State: relaxed

Total DFT energy (no corrections) ... -0.32659 Ry per atom
DFT formation energy ... -235 kJ/mol of formula units
D(E_F) ... 0.509 states/eV per atom

CIF file:
```
data_BaLaAu2
_cell_length_a 4.4400
_cell_length_b 4.4400
_cell_length_c 22.3190
_cell_angle_alpha 90.00
_cell_angle_beta 90.00
_cell_angle_gamma 120.00
_symmetry_space_group_name_H-M 'R -3 m'
_symmetry_Int_Tables_number 166
_symmetry_space_group_name_Hall '-R 3 2"'
loop_
_atom_site_label
_atom_site_type_symbol
_atom_site_fract_x
_atom_site_fract_y
_atom_site_fract_z
Ba1 Ba 0.0000 0.0000 0.0000
La1 La 0.0000 0.0000 0.5000
Au1 Au 0.0000 0.0000 0.2401
```


# 2
Material: Tl2BiAu2
Method: DFT, PBEsol
State: relaxed

Total DFT energy (no corrections) ... -0.25459 Ry per atom
DFT formation energy ... 7 kJ/mol of formula units
D(E_F) ... 0.369 states/eV per atom

CIF file:
```
data_Tl2BiAu2
_cell_length_a 7.848
_cell_length_b 7.848
_cell_length_c 3.866
_cell_angle_alpha 90.00
_cell_angle_beta 90.00
_cell_angle_gamma 90.00
_symmetry_space_group_name_H-M 'P 4/m b m'
_symmetry_Int_Tables_number 127
_symmetry_space_group_name_Hall '-P 4 2ab'
loop_
_atom_site_label
_atom_site_type_symbol
_atom_site_fract_x
_atom_site_fract_y
_atom_site_fract_z
Tl1 Tl 0.169 0.331 0.000
Bi1 Bi 0.000 0.000 0.500
Au1 Au 0.128 0.628 0.500
```


# 3
Material: KSi2Ge2
Method: DFT, PBEsol
State: relaxed

Total DFT energy (no corrections) ... -0.32707 Ry per atom
D(E_F) ... 0.146 states/eV per atom
ΔE_f (raw) ... 51 meV/atom

CIF file:
```
data_KSi2Ge2
_cell_length_a 4.049
_cell_length_b 4.049
_cell_length_c 14.512
_cell_angle_alpha 90.00
_cell_angle_beta 90.00
_cell_angle_gamma 90.00
_symmetry_space_group_name_H-M 'I 4/m m m'
_symmetry_Int_Tables_number 139
_symmetry_space_group_name_Hall '-I 4 2'
loop_
_atom_site_label
_atom_site_type_symbol
_atom_site_fract_x
_atom_site_fract_y
_atom_site_fract_z
K1 K 0.000 0.000 0.000
Si1 Si 0.000 0.500 0.250
Ge1 Ge 0.000 0.000 0.355
```


# 4
Material: Tm2AgPt
Method: DFT, PBEsol
State: relaxed

Total DFT energy (no corrections) ... -0.42881 Ry per atom
DFT formation energy ... -315 kJ/mol of formula units
D(E_F) ... 0.615 states/eV per atom

CIF file:
```
data_Tm2AgPt
_cell_length_a 6.892
_cell_length_b 6.892
_cell_length_c 6.892
_cell_angle_alpha 90.00
_cell_angle_beta 90.00
_cell_angle_gamma 90.00
_symmetry_space_group_name_H-M 'F m -3 m'
_symmetry_Int_Tables_number 225
_symmetry_space_group_name_Hall '-F 4 2 3'
loop_
_atom_site_label
_atom_site_type_symbol
_atom_site_fract_x
_atom_site_fract_y
_atom_site_fract_z
Tm1 Tm 0.250 0.250 0.250
Ag1 Ag 0.000 0.000 0.000
Pt1 Pt 0.000 0.000 0.500
```


# 5
Material: LiAgBr2
Method: DFT, PBEsol
State: relaxed

Total DFT energy (no corrections) ... -0.21589 Ry per atom
ΔE_f (raw) ... -683 meV/atom

CIF file:
```
data_LiAgBr2
_cell_length_a 6.959
_cell_length_b 6.959
_cell_length_c 6.959
_cell_angle_alpha 90.00
_cell_angle_beta 90.00
_cell_angle_gamma 90.00
_symmetry_space_group_name_H-M 'F m -3 m'
_symmetry_Int_Tables_number 225
_symmetry_space_group_name_Hall '-F 4 2 3'
loop_
_atom_site_label
_atom_site_type_symbol
_atom_site_fract_x
_atom_site_fract_y
_atom_site_fract_z
Li1 Li 0.000 0.000 0.000
Ag1 Ag 0.000 0.000 0.500
Br1 Br 0.250 0.250 0.250
```


# 6
Material: SrCo6O11
Method: DFT, PBEsol
State: relaxed

Total DFT energy (no corrections) ... -0.53035 Ry per atom
D(E_F) ... 0.693 states/eV per atom
ΔE_f (raw) ... -1327 meV/atom

CIF file:
```
data_SrCo6O11
_cell_length_a 5.5470
_cell_length_b 5.5470
_cell_length_c 12.2583
_cell_angle_alpha 90.00
_cell_angle_beta 90.00
_cell_angle_gamma 120.00
_symmetry_space_group_name_H-M 'P 63/m m c'
_symmetry_Int_Tables_number 194
_symmetry_space_group_name_Hall '-P 6c 2c'
loop_
_atom_site_label
_atom_site_type_symbol
_atom_site_fract_x
_atom_site_fract_y
_atom_site_fract_z
Sr1 Sr 0.3333 0.6667 0.2500
Co1 Co 0.0000 0.0000 0.1451
Co2 Co 0.0000 0.5000 0.0000
Co3 Co 0.3333 0.6667 0.7500
O1 O 0.1463 0.2926 0.7500
O2 O 0.1747 0.3493 0.0809
O3 O 0.3333 0.6667 0.5839
```


# 7
Material: LaCo
Method: DFT, PBEsol
State: relaxed

Total DFT energy (no corrections) ... -0.48742 Ry per atom
DFT formation energy ... -17 kJ/mol of formula units
D(E_F) ... 1.691 states/eV per atom

CIF file:
```
data_LaCo
_cell_length_a 3.9479
_cell_length_b 3.9479
_cell_length_c 21.0545
_cell_angle_alpha 90.00
_cell_angle_beta 90.00
_cell_angle_gamma 120.00
_symmetry_space_group_name_H-M 'R -3 m'
_symmetry_Int_Tables_number 166
_symmetry_space_group_name_Hall '-R 3 2"'
loop_
_atom_site_label
_atom_site_type_symbol
_atom_site_fract_x
_atom_site_fract_y
_atom_site_fract_z
La1 La 0.0000 0.0000 0.0872
Co1 Co 0.0000 0.0000 0.3327
```


# 8
Material: RbCeSe2
Method: DFT, PBEsol
State: relaxed

Total DFT energy (no corrections) ... -0.39897 Ry per atom
D(E_F) ... 1.888 states/eV per atom
ΔE_f (raw) ... -1598 meV/atom

CIF file:
```
data_RbCeSe2
_cell_length_a 4.3161
_cell_length_b 4.3161
_cell_length_c 23.5841
_cell_angle_alpha 90.00
_cell_angle_beta 90.00
_cell_angle_gamma 120.00
_symmetry_space_group_name_H-M 'R -3 m'
_symmetry_Int_Tables_number 166
_symmetry_space_group_name_Hall '-R 3 2"'
loop_
_atom_site_label
_atom_site_type_symbol
_atom_site_fract_x
_atom_site_fract_y
_atom_site_fract_z
Rb1 Rb 0.0000 0.0000 0.0000
Ce1 Ce 0.0000 0.0000 0.5000
Se1 Se 0.0000 0.0000 0.2336
```


# 9
Material: Tl2CrFeH
Method: DFT, PBEsol
State: relaxed

Total DFT energy (no corrections) ... -0.33542 Ry per atom
D(E_F) ... 0.642 states/eV per atom

CIF file:
```
data_Tl2CrFeH
_cell_length_a 5.013
_cell_length_b 5.013
_cell_length_c 4.113
_cell_angle_alpha 90.00
_cell_angle_beta 90.00
_cell_angle_gamma 90.00
_symmetry_space_group_name_H-M 'P 4/m m m'
_symmetry_Int_Tables_number 123
_symmetry_space_group_name_Hall '-P 4 2'
loop_
_atom_site_label
_atom_site_type_symbol
_atom_site_fract_x
_atom_site_fract_y
_atom_site_fract_z
Tl1 Tl 0.000 0.500 0.000
Cr1 Cr 0.000 0.000 0.500
Fe1 Fe 0.000 0.000 0.000
H1 H 0.500 0.500 0.500
```


# 10
Material: ZrIn3
Method: DFT, PBEsol
State: relaxed

Total DFT energy (no corrections) ... -0.35318 Ry per atom
DFT formation energy ... -114 kJ/mol of formula units
D(E_F) ... 0.345 states/eV per atom

CIF file:
```
data_ZrIn3
_cell_length_a 4.214
_cell_length_b 4.214
_cell_length_c 9.756
_cell_angle_alpha 90.00
_cell_angle_beta 90.00
_cell_angle_gamma 90.00
_symmetry_space_group_name_H-M 'I 4/m m m'
_symmetry_Int_Tables_number 139
_symmetry_space_group_name_Hall '-I 4 2'
loop_
_atom_site_label
_atom_site_type_symbol
_atom_site_fract_x
_atom_site_fract_y
_atom_site_fract_z
Zr1 Zr 0.000 0.000 0.000
In1 In 0.000 0.000 0.500
In2 In 0.000 0.500 0.250
```


# 11
Material: MnAsPb3
Method: DFT, PBEsol
State: relaxed

Total DFT energy (no corrections) ... -0.35925 Ry per atom
DFT formation energy ... 234 kJ/mol of formula units
D(E_F) ... 0.822 states/eV per atom

CIF file:
```
data_MnAsPb3
_cell_length_a 5.065
_cell_length_b 5.065
_cell_length_c 5.065
_cell_angle_alpha 90.00
_cell_angle_beta 90.00
_cell_angle_gamma 90.00
_symmetry_space_group_name_H-M 'P m -3 m'
_symmetry_Int_Tables_number 221
_symmetry_space_group_name_Hall '-P 4 2 3'
loop_
_atom_site_label
_atom_site_type_symbol
_atom_site_fract_x
_atom_site_fract_y
_atom_site_fract_z
Mn1 Mn 0.000 0.000 0.000
As1 As 0.500 0.500 0.500
Pb1 Pb 0.000 0.000 0.500
```


# 12
Material: BaPbBr2
Method: DFT, PBEsol
State: relaxed

Total DFT energy (no corrections) ... -0.26281 Ry per atom
D(E_F) ... 0.695 states/eV per atom
ΔE_f (raw) ... -1104 meV/atom

CIF file:
```
data_BaPbBr2
_cell_length_a 3.774
_cell_length_b 3.774
_cell_length_c 9.622
_cell_angle_alpha 90.00
_cell_angle_beta 90.00
_cell_angle_gamma 90.00
_symmetry_space_group_name_H-M 'P 4/m m m'
_symmetry_Int_Tables_number 123
_symmetry_space_group_name_Hall '-P 4 2'
loop_
_atom_site_label
_atom_site_type_symbol
_atom_site_fract_x
_atom_site_fract_y
_atom_site_fract_z
Ba1 Ba 0.000 0.000 0.000
Pb1 Pb 0.000 0.000 0.500
Br1 Br 0.500 0.500 0.195
```


# 13
Material: BeCoP4
Method: DFT, PBEsol
State: relaxed

Total DFT energy (no corrections) ... -0.36689 Ry per atom
DFT formation energy ... 478 kJ/mol of formula units
D(E_F) ... 0.837 states/eV per atom

CIF file:
```
data_BeCoP4
_cell_length_a 6.789
_cell_length_b 6.789
_cell_length_c 6.789
_cell_angle_alpha 90.00
_cell_angle_beta 90.00
_cell_angle_gamma 90.00
_symmetry_space_group_name_H-M 'F -4 3 m'
_symmetry_Int_Tables_number 216
_symmetry_space_group_name_Hall 'F -4 2 3'
loop_
_atom_site_label
_atom_site_type_symbol
_atom_site_fract_x
_atom_site_fract_y
_atom_site_fract_z
Be1 Be 0.000 0.000 0.000
Co1 Co 0.250 0.250 0.250
P1 P 0.125 0.125 0.625
```


# 14
Material: LiNiSb2
Method: DFT, PBEsol
State: relaxed

Total DFT energy (no corrections) ... -0.32956 Ry per atom
D(E_F) ... 0.449 states/eV per atom
ΔE_f (raw) ... -174 meV/atom

CIF file:
```
data_LiNiSb2
_cell_length_a 3.975
_cell_length_b 3.727
_cell_length_c 9.458
_cell_angle_alpha 90.00
_cell_angle_beta 90.00
_cell_angle_gamma 90.00
_symmetry_space_group_name_H-M 'A m m 2'
_symmetry_Int_Tables_number 38
loop_
_symmetry_equiv_pos_as_xyz
'x,y,z'
'-x,-y,z'
'-x,y,z'
'x,-y,z'
'x,y+1/2,z+1/2'
'-x,-y+1/2,z+1/2'
'-x,y+1/2,z+1/2'
'x,-y+1/2,z+1/2'
loop_
_atom_site_label
_atom_site_type_symbol
_atom_site_fract_x
_atom_site_fract_y
_atom_site_fract_z
Li1 Li 0.000 0.000 0.000
Ni1 Ni 0.500 0.000 0.842
Sb1 Sb 0.000 0.000 0.284
Sb2 Sb 0.500 0.000 0.552
```


# 15
Material: LiH2Pd2
Method: DFT, PBEsol
State: relaxed

Total DFT energy (no corrections) ... -0.31802 Ry per atom
D(E_F) ... 0.165 states/eV per atom

CIF file:
```
data_LiH2Pd2
_cell_length_a 5.683
_cell_length_b 5.683
_cell_length_c 2.813
_cell_angle_alpha 90.00
_cell_angle_beta 90.00
_cell_angle_gamma 90.00
_symmetry_space_group_name_H-M 'P 4/m b m'
_symmetry_Int_Tables_number 127
_symmetry_space_group_name_Hall '-P 4 2ab'
loop_
_atom_site_label
_atom_site_type_symbol
_atom_site_fract_x
_atom_site_fract_y
_atom_site_fract_z
Li1 Li 0.000 0.000 0.000
H1 H 0.189 0.311 0.000
Pd1 Pd 0.170 0.670 0.500
```


# 16
Material: CaMg2Zn3
Method: DFT, PBEsol
State: relaxed

Total DFT energy (no corrections) ... -0.13651 Ry per atom
DFT formation energy ... -80 kJ/mol of formula units
D(E_F) ... 0.387 states/eV per atom

CIF file:
```
data_CaMg2Zn3
_cell_length_a 4.6469
_cell_length_b 4.6469
_cell_length_c 12.5881
_cell_angle_alpha 90.00
_cell_angle_beta 90.00
_cell_angle_gamma 120.00
_symmetry_space_group_name_H-M 'P 63/m m c'
_symmetry_Int_Tables_number 194
_symmetry_space_group_name_Hall '-P 6c 2c'
loop_
_atom_site_label
_atom_site_type_symbol
_atom_site_fract_x
_atom_site_fract_y
_atom_site_fract_z
Ca1 Ca 0.0000 0.0000 0.2500
Mg1 Mg 0.3333 0.6667 0.0782
Zn1 Zn 0.0000 0.0000 0.0000
Zn2 Zn 0.3333 0.6667 0.6436
```


# 17
Material: TaGeI2O
Method: DFT, PBEsol
State: relaxed

Total DFT energy (no corrections) ... -0.41096 Ry per atom
D(E_F) ... 0.937 states/eV per atom
ΔE_f (raw) ... -337 meV/atom

CIF file:
```
data_TaGeI2O
_cell_length_a 5.575
_cell_length_b 5.575
_cell_length_c 3.836
_cell_angle_alpha 90.00
_cell_angle_beta 90.00
_cell_angle_gamma 90.00
_symmetry_space_group_name_H-M 'P 4/m m m'
_symmetry_Int_Tables_number 123
_symmetry_space_group_name_Hall '-P 4 2'
loop_
_atom_site_label
_atom_site_type_symbol
_atom_site_fract_x
_atom_site_fract_y
_atom_site_fract_z
Ta1 Ta 0.000 0.000 0.000
Ge1 Ge 0.500 0.500 0.500
I1 I 0.000 0.500 0.000
O1 O 0.000 0.000 0.500
```


# 18
Material: PtSe2Cl
Method: DFT, PBEsol
State: relaxed

Total DFT energy (no corrections) ... -0.33150 Ry per atom
D(E_F) ... 0.142 states/eV per atom
ΔE_f (raw) ... -342 meV/atom

CIF file:
```
data_PtSe2Cl
_cell_length_a 4.657
_cell_length_b 3.711
_cell_length_c 5.159
_cell_angle_alpha 90.00
_cell_angle_beta 108.41
_cell_angle_gamma 90.00
_symmetry_space_group_name_H-M 'P 1 2/m 1'
_symmetry_Int_Tables_number 10
loop_
_symmetry_equiv_pos_as_xyz
'x,y,z'
'-x,-y,-z'
'-x,y,-z'
'x,-y,z'
loop_
_atom_site_label
_atom_site_type_symbol
_atom_site_fract_x
_atom_site_fract_y
_atom_site_fract_z
Pt1 Pt 0.000 0.000 0.000
Se1 Se 0.364 0.500 0.162
Cl1 Cl 0.000 0.000 0.500
```


# 19
Material: CeSiPt
Method: DFT, PBEsol
State: relaxed

Total DFT energy (no corrections) ... -0.55234 Ry per atom
D(E_F) ... 1.307 states/eV per atom
ΔE_f (raw) ... -1080 meV/atom

CIF file:
```
data_CeSiPt
_cell_length_a 4.061
_cell_length_b 4.061
_cell_length_c 14.638
_cell_angle_alpha 90.00
_cell_angle_beta 90.00
_cell_angle_gamma 90.00
_symmetry_space_group_name_H-M 'I 41 m d'
_symmetry_Int_Tables_number 109
_symmetry_space_group_name_Hall 'I 4bw -2'
loop_
_atom_site_label
_atom_site_type_symbol
_atom_site_fract_x
_atom_site_fract_y
_atom_site_fract_z
Ce1 Ce 0.000 0.000 0.000
Si1 Si 0.000 0.000 0.419
Pt1 Pt 0.000 0.000 0.583
```


# 20
Material: RbInNiW2
Method: DFT, PBEsol
State: relaxed

Total DFT energy (no corrections) ... -0.41666 Ry per atom
DFT formation energy ... 910 kJ/mol of formula units
D(E_F) ... 1.371 states/eV per atom

CIF file:
```
data_RbInNiW2
_cell_length_a 4.568
_cell_length_b 4.568
_cell_length_c 5.494
_cell_angle_alpha 90.00
_cell_angle_beta 90.00
_cell_angle_gamma 90.00
_symmetry_space_group_name_H-M 'P 4/m m m'
_symmetry_Int_Tables_number 123
_symmetry_space_group_name_Hall '-P 4 2'
loop_
_atom_site_label
_atom_site_type_symbol
_atom_site_fract_x
_atom_site_fract_y
_atom_site_fract_z
Rb1 Rb 0.000 0.000 0.000
In1 In 0.500 0.500 0.000
Ni1 Ni 0.000 0.000 0.500
W1 W 0.000 0.500 0.500
```